# 1
First-principles (PBE) data for a relaxed Nd2YHo5Tm crystal, as listed in Alexandria via LeMat-Bulk.

Values from the calculation:
Its total magnetization is 0.0000 μB/atom. The formation energy comes out at 238 kJ/mol of formula units. As for the crystal system: tetragonal.

a = 9.9342 Å, b = 9.9342 Å, c = 9.9342 Å
α = 128.74°, β = 128.74°, γ = 75.43°
Fractional positions:
Nd 0.1181 0.6181 0.7362
Nd 0.3819 0.1181 0.5000
Nd 0.6181 0.8819 0.5000
Nd 0.8819 0.3819 0.2638
Y 0.2500 0.2500 0.0000
Y 0.7500 0.7500 0.0000
Ho 0.0000 0.0000 0.0000
Ho 0.0725 0.1459 0.5000
Ho 0.1459 0.6459 0.0734
Ho 0.3541 0.4275 0.5000
Ho 0.4275 0.9275 0.0734
Ho 0.5000 0.5000 0.0000
Ho 0.5725 0.0725 0.9266
Ho 0.6459 0.5725 0.5000
Ho 0.8541 0.3541 0.9266
Ho 0.9275 0.8541 0.5000
Tm 0.2500 0.7500 0.5000
Tm 0.7500 0.2500 0.5000

=====

# 2
First-principles (PBE) data for a relaxed Ca2YTiFe crystal, as listed in Alexandria via LeMat-Bulk.

Values from the calculation:
Its total magnetization is 0.0398 μB/atom. The formation energy comes out at 884 kJ/mol of formula units. As for the crystal system: tetragonal.

a = 5.6728 Å, b = 5.6728 Å, c = 4.7672 Å
α = 90.00°, β = 90.00°, γ = 90.00°
Fractional positions:
Ca 0.0000 0.5000 0.0000
Ca 0.5000 0.0000 0.0000
Y 0.0000 0.0000 0.0000
Ti 0.0000 0.0000 0.5000
Fe 0.5000 0.5000 0.5000

=====

Q: The lowest total magnetization belongs to which entry?
A: Nd2YHo5Tm

=====

Q: What is the formation energy in the first record?
A: 238 kJ/mol of formula units